Density functional theory data (PBE-GGA) for a relaxed structure of BaLi10Cd.

The value obtained for the raw total energy is -0.066 hartree per atom. As for the symmetry: Pmmm, No. 47. The value obtained for the formation energy is 3.35 kJ per mole of atoms.

Cell lengths 4.848, 5.834, 10.128 Å; angles 90.00, 90.00, 90.00 degrees
Sites, in units of the cell vectors:
Ba 0.000 0.000 0.000
Cd 0.000 0.500 0.500
Li 0.500 0.733 0.284
Li 0.500 0.267 0.284
Li 0.500 0.500 0.000
Li 0.500 0.000 0.500
Li 0.000 0.000 0.640
Li 0.000 0.500 0.210
Li 0.500 0.733 0.716
Li 0.500 0.267 0.716
Li 0.000 0.500 0.790
Li 0.000 0.000 0.360